# 1
Entry from Alexandria via LeMat-Bulk: crystalline Tm3Ga2 at its relaxed geometry (PBE).

## Properties
E_tot   -86.03 eV/cell
Symmetry   Pnma, No. 62

a b c (Å): 12.0518 3.6083 11.6422
angles (deg): 90.00 90.00 90.00
Atoms (fractional coordinates):
1 Tm 0.0341 0.2500 0.1261
2 Tm 0.1278 0.7500 0.5343
3 Tm 0.2339 0.2500 0.7716
4 Tm 0.2661 0.7500 0.2716
5 Tm 0.3722 0.2500 0.0343
6 Tm 0.4659 0.7500 0.6261
7 Tm 0.5341 0.2500 0.3739
8 Tm 0.6278 0.7500 0.9657
9 Tm 0.7339 0.2500 0.7284
10 Tm 0.7661 0.7500 0.2284
11 Tm 0.8722 0.2500 0.4657
12 Tm 0.9659 0.7500 0.8739
13 Ga 0.0027 0.7500 0.3185
14 Ga 0.1824 0.7500 0.9967
15 Ga 0.3176 0.2500 0.4967
16 Ga 0.4973 0.2500 0.8185
17 Ga 0.5027 0.7500 0.1815
18 Ga 0.6824 0.7500 0.5033
19 Ga 0.8176 0.2500 0.0033
20 Ga 0.9973 0.2500 0.6815

***

# 2
Entry from Alexandria via LeMat-Bulk: crystalline ErCdAu2 at its relaxed geometry (PBE).

## Properties
E_tot   -14.21 eV/cell
Symmetry   P4/mmm, No. 123

a b c (Å): 4.6980 4.6980 3.8783
angles (deg): 90.00 90.00 90.00
Atoms (fractional coordinates):
1 Er 0.0000 0.0000 0.0000
2 Cd 0.5000 0.5000 0.0000
3 Au 0.0000 0.5000 0.5000
4 Au 0.5000 0.0000 0.5000

***

# 3
Entry from Alexandria via LeMat-Bulk: crystalline RbSbIr2 at its relaxed geometry (PBE).

## Properties
Formation energy (no corrections)   1018 meV/atom
Symmetry   Fm-3m, No. 225

a b c (Å): 4.8327 4.8327 4.8327
angles (deg): 60.00 60.00 60.00
Atoms (fractional coordinates):
1 Rb 0.0000 0.0000 0.0000
2 Sb 0.5000 0.5000 0.5000
3 Ir 0.2500 0.2500 0.2500
4 Ir 0.7500 0.7500 0.7500

***

# 4
Entry from Alexandria via LeMat-Bulk: crystalline La4Pr3Nd2 at its relaxed geometry (PBE).

## Properties
E_tot   -43.43 eV/cell
Symmetry   C2/m, No. 12

a b c (Å): 6.4381 6.4381 11.1515
angles (deg): 106.59 106.59 48.36
Atoms (fractional coordinates):
1 La 0.0010 0.0010 0.1687
2 La 0.3333 0.3333 0.6112
3 La 0.6667 0.6667 0.3888
4 La 0.9990 0.9990 0.8313
5 Pr 0.0000 0.0000 0.5000
6 Pr 0.3345 0.3345 0.9458
7 Pr 0.6655 0.6655 0.0542
8 Nd 0.3320 0.3320 0.2765
9 Nd 0.6680 0.6680 0.7235

***

# 5
Entry from Alexandria via LeMat-Bulk: crystalline LaHo2Tm3 at its relaxed geometry (PBE).

## Properties
E_tot   -54.80 eV/cell
Symmetry   C2/m, No. 12

a b c (Å): 11.0552 11.0552 11.2814
angles (deg): 120.45 120.45 18.88
Atoms (fractional coordinates):
1 La 0.1108 0.1108 0.4843
2 La 0.8892 0.8892 0.5157
3 Ho 0.2245 0.2245 0.8515
4 Ho 0.4419 0.4419 0.3096
5 Ho 0.5581 0.5581 0.6904
6 Ho 0.7755 0.7755 0.1485
7 Tm 0.1112 0.1112 0.9880
8 Tm 0.2208 0.2208 0.3440
9 Tm 0.4449 0.4449 0.8255
10 Tm 0.5551 0.5551 0.1745
11 Tm 0.7792 0.7792 0.6560
12 Tm 0.8888 0.8888 0.0120

***

# 6
Entry from Alexandria via LeMat-Bulk: crystalline MnTcIr at its relaxed geometry (PBE).

## Properties
E_tot   -27.84 eV/cell
Symmetry   Fmm2, No. 42

a b c (Å): 6.9261 6.6988 2.6889
angles (deg): 83.41 73.90 22.69
Atoms (fractional coordinates):
1 Mn 0.0000 0.0000 0.0000
2 Tc 0.3423 0.3423 0.6577
3 Ir 0.6644 0.6644 0.3356